# 1
Crystalline Ba3RhCl at its relaxed geometry, computed with GGA-PBE.

a = 10.3909 Å, b = 10.3909 Å, c = 6.4168 Å
α = 90.00°, β = 90.00°, γ = 144.29°
Positions (direct):
Ba1 0.0768 0.9232 0.7500
Ba2 0.2395 0.7605 0.2500
Ba3 0.4108 0.5892 0.7500
Ba4 0.5892 0.4108 0.2500
Ba5 0.7605 0.2395 0.7500
Ba6 0.9232 0.0768 0.2500
Rh1 0.0920 0.9080 0.2500
Rh2 0.9080 0.0920 0.7500
Cl1 0.4245 0.5755 0.2500
Cl2 0.5755 0.4245 0.7500

polymorph energy (0 for the lowest one): 0 meV/atom
total magnetic moment: 0.00 μB per formula unit
energy relative to the elements, uncorrected: -0.8362 eV/atom



# 2
Crystalline Ba2RhCl at its relaxed geometry, computed with GGA-PBE.

a = 4.5972 Å, b = 4.5972 Å, c = 6.2909 Å
α = 90.00°, β = 90.00°, γ = 90.00°
Positions (direct):
Ba1 0.0000 0.0000 0.0000
Ba2 0.5000 0.5000 0.4779
Rh1 0.0000 0.0000 0.4562
Cl1 0.5000 0.5000 0.9764

polymorph energy (0 for the lowest one): 17 meV/atom
total magnetic moment: 0.00 μB per formula unit
energy relative to the elements, uncorrected: -0.9991 eV/atom